VASP calculation (meta-GGA SCAN) on Sr3Fe2MoO9 at its PBEsol-relaxed geometry.

Computed properties:
DOS(E_F) ... 0.1058 states/eV per atom
Formation energy (no corrections) ... -2.53 eV/atom
Total DFT energy (no corrections) ... -15.47 eV/atom

Lattice parameters (Å, degrees): 9.5022 9.5022 5.4717 106.70 106.70 48.49
Closest atoms and distances in Å follow each position.
Atoms (fractional coordinates):
Sr: 0.0808 0.5975 0.3380  10 O 2.59-2.90
Sr: 0.2351 0.7649 0.0000  10 O 2.61-2.76
Sr: 0.4025 0.9192 0.6620  10 O 2.59-2.90
Sr: 0.5975 0.0808 0.3380  10 O 2.59-2.90
Sr: 0.7649 0.2351 0.0000  10 O 2.61-2.76
Sr: 0.9192 0.4025 0.6620  10 O 2.59-2.90
Fe: 0.0000 0.0000 0.5000  6 O 1.90-1.95
Fe: 0.1637 0.1637 0.1656  6 O 1.93-2.02
Fe: 0.5000 0.5000 0.5000  6 O 1.95-2.00
Fe: 0.8363 0.8363 0.8344  6 O 1.93-2.02
Mo: 0.3332 0.3332 0.8324  6 O 1.90-1.92
Mo: 0.6668 0.6668 0.1676  6 O 1.90-1.92
O: 0.0778 0.0778 0.3218  2 Fe 1.90-1.94
O: 0.0865 0.0865 0.8233  2 Fe 1.92-1.93
O: 0.0874 0.5776 0.8326  1 Mo 1.91, 1 Fe 1.99
O: 0.2429 0.2429 0.5217  1 Mo 1.91, 1 Fe 2.00
O: 0.2498 0.7502 0.5000  2 Fe 1.95
O: 0.2597 0.2597 0.0311  1 Mo 1.92, 1 Fe 2.02
O: 0.4046 0.4046 0.6268  1 Mo 1.92, 1 Fe 1.98
O: 0.4224 0.9126 0.1674  1 Mo 1.91, 1 Fe 1.99
O: 0.4249 0.4249 0.1366  1 Mo 1.90, 1 Fe 2.00
O: 0.5751 0.5751 0.8634  1 Mo 1.90, 1 Fe 2.00
O: 0.5776 0.0874 0.8326  1 Mo 1.91, 1 Fe 1.99
O: 0.5954 0.5954 0.3732  1 Mo 1.92, 1 Fe 1.98
O: 0.7403 0.7403 0.9689  1 Mo 1.92, 1 Fe 2.02
O: 0.7502 0.2498 0.5000  2 Fe 1.95
O: 0.7571 0.7571 0.4783  1 Mo 1.91, 1 Fe 2.00
O: 0.9126 0.4224 0.1674  1 Mo 1.91, 1 Fe 1.99
O: 0.9135 0.9135 0.1767  2 Fe 1.92-1.93
O: 0.9222 0.9222 0.6782  2 Fe 1.90-1.94